[1]
Compound: OsRhPb2
Source: Alexandria
Functional: GGA-PBE
Structure: optimized geometry

Geometry as extended XYZ:
```
4
Lattice="0.0000 3.4201 3.4201 3.4201 0.0000 3.4201 3.4201 3.4201 0.0000" Properties=species:S:1:pos:R:3 pbc="T T T"
Os 0.0000 0.0000 0.0000
Rh 1.7100 1.7100 1.7100
Pb 3.4201 3.4201 3.4201
Pb 5.1301 5.1301 5.1301
```

Properties
D(E_F)   6.222 states/eV/cell
ΔE_f   0.8688 eV per atom
Uncorrected energy   -5.631 eV per atom

***

[2]
Compound: MgAl2NiB
Source: Alexandria
Functional: GGA-PBE
Structure: optimized geometry

Geometry as extended XYZ:
```
5
Lattice="4.0739 0.0000 0.0000 0.0000 4.0739 0.0000 0.0000 0.0000 4.4269" Properties=species:S:1:pos:R:3 pbc="T T T"
Mg 0.0000 0.0000 0.0000
Al 0.0000 2.0369 2.2134
Al 2.0369 0.0000 2.2134
Ni 2.0369 2.0369 0.0000
B 0.0000 0.0000 2.2134
```

Properties
D(E_F)   2.643 states/eV/cell
ΔE_f   0.2625 eV per atom
Uncorrected energy   -4.045 eV per atom

***

[3]
Compound: CsHg2Bi2Pb
Source: Alexandria
Functional: GGA-PBE
Structure: optimized geometry

Geometry as extended XYZ:
```
6
Lattice="5.2370 0.0000 0.0000 -2.6185 4.5354 0.0000 0.0000 0.0000 9.4173" Properties=species:S:1:pos:R:3 pbc="T T T"
Cs 0.0000 0.0000 0.0000
Hg 0.0000 3.0236 6.5865
Hg 2.6185 1.5118 2.8308
Bi 0.0000 3.0236 2.8731
Bi 2.6185 1.5118 6.5442
Pb 0.0000 0.0000 4.7086
```

Properties
D(E_F)   0.526 states/eV/cell
ΔE_f   -0.1371 eV per atom
Uncorrected energy   -2.292 eV per atom

***

[4]
Compound: Ir3SCl
Source: Alexandria
Functional: GGA-PBE
Structure: optimized geometry

Geometry as extended XYZ:
```
5
Lattice="4.4649 0.0000 0.0000 0.0000 4.4649 0.0000 0.0000 0.0000 4.4649" Properties=species:S:1:pos:R:3 pbc="T T T"
Ir 0.0000 0.0000 2.2324
Ir 0.0000 2.2324 0.0000
Ir 2.2324 0.0000 0.0000
S 0.0000 0.0000 0.0000
Cl 2.2324 2.2324 2.2324
```

Properties
D(E_F)   9.427 states/eV/cell
Formation energy (no corrections)   1.2278 eV/atom
Uncorrected energy   -5.284 eV per atom

***

[5]
Compound: K5Te2Se6
Source: Alexandria
Functional: GGA-PBE
Structure: optimized geometry

Geometry as extended XYZ:
```
26
Lattice="12.9588 0.0000 0.0000 0.0000 13.2401 0.0000 0.0000 0.0000 5.5091" Properties=species:S:1:pos:R:3 pbc="T T T"
K 0.0000 0.0000 0.0000
K 0.6279 3.7149 0.0000
K 2.6908 7.1584 0.0000
K 3.7886 0.5383 0.0000
K 5.8515 10.3350 0.0000
K 6.4794 6.6201 0.0000
K 7.1072 2.9052 0.0000
K 9.1702 12.7018 0.0000
K 10.2680 6.0817 0.0000
K 12.3309 9.5252 0.0000
Te 2.6599 9.7957 2.7545
Te 3.8195 3.1756 2.7545
Te 9.1393 10.0645 2.7545
Te 10.2989 3.4445 2.7545
Se 0.7990 8.0272 2.7545
Se 1.7018 1.6415 2.7545
Se 2.5302 10.5608 0.0000
Se 3.9492 3.9407 0.0000
Se 4.7776 8.2616 2.7545
Se 5.6804 1.4071 2.7545
Se 7.2784 11.8330 2.7545
Se 8.1812 4.9785 2.7545
Se 9.0095 9.2994 0.0000
Se 10.4286 2.6793 0.0000
Se 11.2570 11.5986 2.7545
Se 12.1598 5.2130 2.7545
```

Properties
D(E_F)   3.938 states/eV/cell
Formation energy (no corrections)   -0.7154 eV/atom
Uncorrected energy   -3.229 eV per atom

***

[6]
Compound: TbHo6Tm12
Source: Alexandria
Functional: GGA-PBE
Structure: optimized geometry

Geometry as extended XYZ:
```
19
Lattice="7.3523 4.2448 3.3989 -7.3523 4.2448 3.3989 0.0000 -8.4897 3.3989" Properties=species:S:1:pos:R:3 pbc="T T T"
Tb 0.0000 0.0000 0.0000
Ho -2.9251 -1.6888 5.6428
Ho 0.0000 -3.3776 4.5539
Ho -2.9251 1.6888 4.5539
Ho 2.9251 -1.6888 5.6427
Ho 0.0000 3.3776 5.6427
Ho 2.9251 1.6888 4.5539
Tm -1.7060 -0.9850 2.6628
Tm -2.8513 -4.9386 5.0983
Tm -5.7026 0.0000 5.0983
Tm 1.7060 -0.9850 2.6628
Tm 0.0000 1.9699 2.6628
Tm 2.8513 -4.9386 5.0983
Tm -2.8513 4.9386 5.0983
Tm 0.0000 -1.9699 7.5338
Tm -1.7060 0.9850 7.5338
Tm 5.7026 0.0000 5.0983
Tm 2.8513 4.9386 5.0983
Tm 1.7060 0.9850 7.5338
```

Properties
D(E_F)   30.499 states/eV/cell
ΔE_f   0.4545 eV per atom
Uncorrected energy   -4.059 eV per atom